Entry 1:
Crystalline CuHgOs2 at its relaxed geometry. Source: Alexandria, functional PBE.

- SG = C2/m, No. 12
- DFT formation energy (eV/f.u.) = 2.71
- N(E_F) (states/eV per atom) = 1.140
- total magnetization (μB/cell) = 0.00

The structure in POSCAR format:
```
CuHgOs2
1.0
-4.301 -1.875 -1.621
-2.302 -2.865 -3.337
-0.183 -4.169 2.191
Os Cu Hg
2 1 1
direct
0.485 0.485 0.525 Os
0.015 0.015 0.975 Os
0.750 0.750 0.750 Cu
0.250 0.250 0.250 Hg
```

=====

Entry 2:
Crystalline HoTmLuTl at its relaxed geometry. Source: Alexandria, functional PBE.

- SG = F-43m, No. 216
- DFT formation energy (eV/f.u.) = -0.07
- N(E_F) (states/eV per atom) = 1.578
- total magnetization (μB/cell) = 0.92

The structure in POSCAR format:
```
HoTmLuTl
1.0
-1.532 -5.000 -1.355
-0.621 -3.764 3.825
-4.945 -1.752 1.288
Tl Lu Ho Tm
1 1 1 1
direct
0.000 0.000 0.000 Tl
0.500 0.500 0.500 Lu
0.250 0.250 0.250 Ho
0.750 0.750 0.750 Tm
```

=====

Entry 3:
Crystalline LiScRu2 at its relaxed geometry. Source: Alexandria, functional PBE.

- SG = P4/mmm, No. 123
- DFT formation energy (eV/f.u.) = 0.66
- N(E_F) (states/eV per atom) = 1.351
- total magnetization (μB/cell) = 0.95

The structure in POSCAR format:
```
LiScRu2
1.0
-2.190 -1.716 0.365
0.998 -0.739 2.516
-4.007 5.812 3.296
Li Sc Ru
1 1 2
direct
0.500 0.500 0.750 Li
0.500 0.500 0.250 Sc
0.000 0.000 0.992 Ru
0.000 0.000 0.508 Ru
```

=====

Entry 4:
Crystalline Rb3Cu2HgCl9 at its relaxed geometry. Source: Alexandria, functional PBE.

- SG = P-3m1, No. 164
- ΔE_f (raw) (eV/atom) = -1.096
- N(E_F) (states/eV per atom) = 0.247
- total magnetization (μB/cell) = 0.00

The structure in POSCAR format:
```
Rb3Cu2HgCl9
1.0
-3.089 6.287 -1.275
-3.212 -4.754 4.216
4.084 3.420 6.969
Hg Cl Cu Rb
1 9 2 3
direct
0.000 0.000 0.500 Hg
0.174 0.826 0.319 Cl
0.000 0.500 0.000 Cl
0.500 0.500 0.000 Cl
0.826 0.174 0.681 Cl
0.348 0.174 0.681 Cl
0.826 0.652 0.681 Cl
0.174 0.348 0.319 Cl
0.652 0.826 0.319 Cl
0.500 0.000 0.000 Cl
0.333 0.667 0.155 Cu
0.667 0.333 0.845 Cu
0.667 0.333 0.330 Rb
0.333 0.667 0.670 Rb
0.000 0.000 0.000 Rb
```

=====

Entry 5:
Crystalline LaNdHo2Bi4 at its relaxed geometry. Source: Alexandria, functional PBE.

- SG = P2/m, No. 10
- DFT formation energy (eV/f.u.) = -7.33
- N(E_F) (states/eV per atom) = 0.146
- total magnetization (μB/cell) = 0.00

The structure in POSCAR format:
```
LaNdHo2Bi4
1.0
4.569 0.000 0.000
0.000 7.882 -0.147
0.000 2.782 7.401
Nd Ho Bi La
1 2 4 1
direct
0.000 0.500 0.500 Nd
0.000 0.000 0.000 Ho
0.500 0.000 0.500 Ho
0.500 0.239 0.752 Bi
0.000 0.237 0.256 Bi
0.500 0.761 0.248 Bi
0.000 0.763 0.744 Bi
0.500 0.500 0.000 La
```

=====

Entry 6:
Crystalline Nd4Ho2Al at its relaxed geometry. Source: Alexandria, functional PBE.

- SG = R-3m, No. 166
- DFT formation energy (eV/f.u.) = -0.10
- N(E_F) (states/eV per atom) = 1.413
- total magnetization (μB/cell) = 0.00

The structure in POSCAR format:
```
Nd4Ho2Al
1.0
3.664 0.000 0.000
1.832 3.173 0.000
1.832 1.058 19.464
Nd Ho Al
4 2 1
direct
0.706 0.706 0.881 Nd
0.294 0.294 0.119 Nd
0.906 0.906 0.281 Nd
0.094 0.094 0.719 Nd
0.191 0.191 0.428 Ho
0.809 0.809 0.572 Ho
0.000 0.000 0.000 Al
```